#P
## Tb6Tm4Th (PBE-GGA)

Data for a geometry-optimized Tb6Tm4Th structure.

Structure (extended XYZ):
```
11
Lattice="6.565 0.000 0.000 0.000 6.565 0.000 -3.282 -3.282 8.435" Properties=species:S:1:pos:R:3 pbc="T T T"
Tm 1.216 1.216 2.162
Tb 2.040 4.525 2.947
Tb 4.525 2.040 2.947
Tm 5.348 5.348 2.162
Tb 0.000 3.282 0.000
Th 3.282 3.282 0.000
Tb -1.242 -1.242 5.489
Tm 2.066 -2.066 6.274
Tm -2.066 2.066 6.274
Tb 3.282 0.000 0.000
Tb 1.242 1.242 5.489
```

Computed properties:
M_tot = 0.00 μB per cell

---

#Q
## Tb6Tm4Th (PBE-GGA)

Data for a geometry-optimized Tb6Tm4Th structure.

Structure (extended XYZ):
```
22
Lattice="-5.359 1.875 0.468 1.726 -4.446 2.904 7.029 15.287 19.228" Properties=species:S:1:pos:R:3 pbc="T T T"
Tb 1.977 3.906 6.977
Tb 1.017 1.819 4.352
Tm 3.428 14.128 17.306
Tm -0.031 -1.412 5.294
Tm 1.636 10.230 12.404
Tm 0.475 6.810 12.810
Tb 2.534 12.188 14.847
Tb 3.856 7.836 12.753
Tb 1.420 8.809 15.623
Tb 0.835 8.581 9.848
Tm 3.400 13.173 20.813
Tb -0.460 4.879 9.847
Tb 2.380 10.896 18.248
Th 4.900 10.098 15.644
Tm 2.922 5.905 9.791
Tm -0.004 -0.458 1.788
Tb -2.679 0.937 0.234
Tm 1.761 2.485 10.196
Tb 0.862 0.527 7.754
Tb -2.559 0.313 4.104
Th -1.504 2.617 6.957
Tb 5.956 12.402 18.496
```

Computed properties:
M_tot = 0.00 μB per cell

---

Energy relative to the most stable one, in eV/atom: #P 0.180; #Q 0.000

---

#P
## Tb7TmTh3 (PBE-GGA)

Data for a geometry-optimized Tb7TmTh3 structure.

Structure (extended XYZ):
```
11
Lattice="-6.402 1.786 0.798 2.294 -1.807 8.142 1.118 6.062 1.880" Properties=species:S:1:pos:R:3 pbc="T T T"
Th -3.201 0.893 0.399
Tb -2.316 4.215 8.417
Tm -1.495 3.020 5.410
Tb 0.704 5.456 6.761
Th -3.949 1.244 7.878
Tb -0.674 1.826 2.402
Tb 1.706 2.128 5.011
Th 0.959 4.797 2.942
Tb -3.693 0.585 4.059
Tb 0.772 2.428 8.266
Tb -3.761 3.612 2.554
```

Computed properties:
M_tot = 0.00 μB per cell

---

#Q
## Tb7TmTh3 (PBE-GGA)

Data for a geometry-optimized Tb7TmTh3 structure.

Structure (extended XYZ):
```
11
Lattice="8.536 0.000 0.000 0.000 7.079 0.000 0.000 -3.539 6.130" Properties=species:S:1:pos:R:3 pbc="T T T"
Tb 3.864 5.296 1.029
Tb 3.864 3.539 4.071
Tb 0.978 1.753 5.099
Th 6.681 0.000 6.122
Th 6.681 -1.763 3.069
Tm 3.886 0.000 4.087
Tb 0.978 0.000 2.063
Tb 3.864 1.783 1.029
Tb 0.978 -1.753 5.099
Th 6.681 1.763 3.069
Tb 0.939 3.539 2.043
```

Computed properties:
M_tot = 0.00 μB per cell

---

Energy relative to the most stable one, in eV/atom: #P 0.000; #Q 0.054

---

#P
## Tb5Tm12Th2 (PBE-GGA)

Data for a geometry-optimized Tb5Tm12Th2 structure.

Structure (extended XYZ):
```
19
Lattice="-4.475 3.811 -1.323 1.410 -1.883 -9.231 -6.583 -7.648 6.417" Properties=species:S:1:pos:R:3 pbc="T T T"
Tm -8.083 -6.628 -0.640
Tb -0.519 -2.124 -5.606
Tm -4.793 -7.559 -0.694
Tm -3.673 -1.133 -5.421
Tb -3.921 -1.312 -2.084
Th -1.748 0.411 0.027
Tm -5.247 -4.129 -5.374
Tm -2.441 -4.402 -3.122
Tb -5.727 -4.408 -2.053
Tm -7.207 -1.317 -1.015
Tm -4.532 -7.055 -4.074
Tb -3.292 -3.824 3.208
Tm -5.116 1.335 -0.063
Tb -9.129 -3.595 1.469
Tm -4.855 1.839 -3.443
Tm -1.565 0.909 -3.497
Tm -4.401 -1.590 1.237
Tm -5.975 -4.587 1.284
Th -7.900 -6.130 -4.164
```

Computed properties:
M_tot = 0.00 μB per cell

---

#Q
## Tb5Tm12Th2 (PBE-GGA)

Data for a geometry-optimized Tb5Tm12Th2 structure.

Structure (extended XYZ):
```
19
Lattice="11.688 0.000 0.000 -5.844 5.727 1.869 0.000 -0.348 8.914" Properties=species:S:1:pos:R:3 pbc="T T T"
Tb 5.844 2.371 8.872
Tm -2.614 3.093 8.180
Tm 5.844 4.662 3.019
Tm 2.614 3.093 8.180
Th 3.377 0.000 0.000
Tm -2.975 4.544 4.986
Tm 2.975 4.544 4.986
Tm 2.870 0.835 5.797
Tb 5.844 2.444 5.285
Th 8.311 0.000 0.000
Tb 0.000 -0.174 4.457
Tm 5.844 0.279 2.542
Tm 3.230 2.286 2.603
Tm 0.000 0.717 7.764
Tm 0.000 5.100 8.241
Tb 0.000 3.008 1.911
Tb 0.000 2.935 5.498
Tm 8.819 0.835 5.797
Tm 8.458 2.286 2.603
```

Computed properties:
M_tot = 0.00 μB per cell

---

Energy relative to the most stable one, in eV/atom: #P 0.000; #Q 0.050